Material: Na3MgC2BrO6
Method: DFT, meta-GGA SCAN
State: single point on PBEsol structure

Values from the calculation:
The space-group type is No. 227. As for the formation energy without anion corrections: -2.02 eV/atom. As for the total magnetic moment: 0.00 μB/cell.

Unit cell a=10.0780 b=10.0780 c=10.0780 alpha=60.00 beta=60.00 gamma=60.00
Positions (direct):
1 Br 0.6250 0.1250 0.1250
2 O 0.4814 0.4814 0.2596
3 C 0.7759 0.4080 0.4080
4 Mg 0.1250 0.6250 0.6250
5 Na 0.4906 0.4906 0.0094
6 O 0.9904 0.7686 0.4724
7 O 0.9904 0.4724 0.7686
8 Br 0.1250 0.1250 0.6250
9 Na 0.2406 0.7594 0.7594
10 O 0.2596 0.4814 0.7776
11 Na 0.0094 0.4906 0.0094
12 Na 0.4906 0.0094 0.4906
13 C 0.8420 0.8420 0.4741
14 O 0.7686 0.9904 0.4724
15 O 0.9904 0.7686 0.7686
16 Mg 0.6250 0.6250 0.6250
17 O 0.4814 0.7776 0.2596
18 Na 0.2406 0.7594 0.2406
19 O 0.7686 0.4724 0.7686
20 C 0.4080 0.4080 0.4080
21 Na 0.0094 0.4906 0.4906
22 O 0.4724 0.7686 0.9904
23 C 0.8420 0.4741 0.8420
24 C 0.4080 0.7759 0.4080
25 Na 0.7594 0.2406 0.7594
26 O 0.7686 0.4724 0.9904
27 O 0.7686 0.9904 0.7686
28 O 0.4814 0.4814 0.7776
29 O 0.7776 0.4814 0.4814
30 O 0.7776 0.4814 0.2596
31 Na 0.7594 0.7594 0.2406
32 O 0.7686 0.7686 0.4724
33 C 0.8420 0.8420 0.8420
34 O 0.4724 0.7686 0.7686
35 O 0.2596 0.4814 0.4814
36 Br 0.1250 0.6250 0.1250
37 Na 0.2406 0.2406 0.7594
38 Na 0.7594 0.2406 0.2406
39 Mg 0.6250 0.1250 0.6250
40 C 0.4741 0.8420 0.8420
41 Mg 0.6250 0.6250 0.1250
42 O 0.4724 0.9904 0.7686
43 Br 0.1250 0.1250 0.1250
44 Na 0.0094 0.0094 0.4906
45 O 0.4814 0.2596 0.7776
46 O 0.7686 0.7686 0.9904
47 O 0.4814 0.7776 0.4814
48 O 0.2596 0.7776 0.4814
49 Na 0.4906 0.0094 0.0094
50 C 0.4080 0.4080 0.7759
51 O 0.7776 0.2596 0.4814
52 O 0.4814 0.2596 0.4814

Material: MgCSe2Br
Method: DFT, meta-GGA SCAN
State: single point on PBEsol structure

Values from the calculation:
The space-group type is No. 123. As for the formation energy without anion corrections: 0.68 eV/atom. As for the total magnetic moment: 0.00 μB/cell.

Unit cell a=4.3561 b=4.3561 c=4.8679 alpha=90.00 beta=90.00 gamma=90.00
Positions (direct):
1 Se 0.0000 0.5000 0.0000
2 Se 0.5000 0.0000 0.0000
3 Mg 0.5000 0.5000 0.5000
4 C 0.0000 0.0000 0.0000
5 Br 0.0000 0.0000 0.5000

Material: Mo2CBr
Method: DFT, meta-GGA SCAN
State: single point on PBEsol structure

Values from the calculation:
The space-group type is No. 122. As for the formation energy without anion corrections: 0.85 eV/atom. As for the total magnetic moment: 4.50 μB/cell.

Unit cell a=5.3227 b=5.3227 c=6.1065 alpha=115.84 beta=115.84 gamma=90.00
Positions (direct):
1 Br 0.0000 0.0000 0.0000
2 C 0.5000 0.5000 0.0000
3 Mo 0.7829 0.3750 0.2500
4 Mo 0.4671 0.8750 0.2500
5 Br 0.2500 0.7500 0.5000
6 C 0.7500 0.2500 0.5000
7 Mo 0.1250 0.2171 0.7500
8 Mo 0.6250 0.5329 0.7500

Material: MoCSe2Br
Method: DFT, meta-GGA SCAN
State: single point on PBEsol structure

Values from the calculation:
The space-group type is No. 123. As for the formation energy without anion corrections: 1.44 eV/atom. As for the total magnetic moment: 3.05 μB/cell.

Unit cell a=4.3584 b=4.3584 c=4.3629 alpha=90.00 beta=90.00 gamma=90.00
Positions (direct):
1 Se 0.5000 0.0000 0.0000
2 Mo 0.5000 0.5000 0.5000
3 Se 0.0000 0.5000 0.0000
4 Br 0.0000 0.0000 0.5000
5 C 0.0000 0.0000 0.0000

Material: Nb2CBr
Method: DFT, meta-GGA SCAN
State: single point on PBEsol structure

Values from the calculation:
The space-group type is No. 122. As for the formation energy without anion corrections: 0.42 eV/atom. As for the total magnetic moment: 0.01 μB/cell.

Unit cell a=5.4309 b=5.4309 c=6.3886 alpha=115.15 beta=115.15 gamma=90.00
Positions (direct):
1 C 0.7500 0.2500 0.5000
2 Br 0.0000 0.0000 0.0000
3 Nb 0.4700 0.8750 0.2500
4 C 0.5000 0.5000 0.0000
5 Nb 0.7800 0.3750 0.2500
6 Nb 0.6250 0.5300 0.7500
7 Nb 0.1250 0.2200 0.7500
8 Br 0.2500 0.7500 0.5000

Material: NbC3Br
Method: DFT, meta-GGA SCAN
State: single point on PBEsol structure

Values from the calculation:
The space-group type is No. 221. As for the formation energy without anion corrections: 3.19 eV/atom. As for the total magnetic moment: 0.00 μB/cell.

Unit cell a=3.8530 b=3.8530 c=3.8530 alpha=90.00 beta=90.00 gamma=90.00
Positions (direct):
1 Nb 0.5000 0.5000 0.5000
2 C 0.5000 0.0000 0.0000
3 C 0.0000 0.0000 0.5000
4 C 0.0000 0.5000 0.0000
5 Br 0.0000 0.0000 0.0000